An optimized crystal structure of CsCuNiF6. Source: Alexandria, functional GGA+U.

Summary:
VASP energy = -147.8 eV for the cell shown

Cell and atoms, written as CIF:
```
data_CsCuNiF6
_chemical_formula_sum 'Cs4 Cu4 Ni4 F24'
_symmetry_space_group_name_H-M 'I m m a'
_symmetry_Int_Tables_number 74
_symmetry_space_group_name_Hall '-I 2b 2'
_cell_length_a 7.246
_cell_length_b 7.431
_cell_length_c 10.259
_cell_angle_alpha 90.00
_cell_angle_beta 90.00
_cell_angle_gamma 90.00
loop_
_atom_site_label
_atom_site_type_symbol
_atom_site_fract_x
_atom_site_fract_y
_atom_site_fract_z
Cs1 Cs 0.000 0.250 0.125
Cu1 Cu 0.000 0.000 0.500
Ni1 Ni 0.250 0.250 0.750
F1 F 0.000 0.250 0.441
F2 F 0.000 0.250 0.826
F3 F 0.191 0.047 0.625
```